Entry 1:
EuZnIn2 PBE-GGA optimized geometry; space-group type = P4/mmm (123); ΔH_f (0 K) = -0.263 eV per atom; size of the total moment = 7.4 μB per formula unit; energy above the lowest structure with this stoichiometry = 0.000 eV/atom
1.0
-4.1673 -2.1223 0.5231
1.9737 -4.0805 -0.8318
0.8288 -0.5172 4.5037
In Eu Zn
2 1 1
direct
0.0000 0.0000 0.5000
0.0000 0.5000 0.0000
0.5000 0.5000 0.5000
0.5000 0.0000 0.0000

=====

Entry 2:
EuZnIn4 PBE-GGA optimized geometry; space-group type = F-43m (216); ΔH_f (0 K) = -0.076 eV per atom; size of the total moment = 7.2 μB per formula unit
1.0
6.1599 0.0000 0.0000
3.0799 5.3346 0.0000
3.0799 1.7782 5.0295
Zn In Eu
1 4 1
direct
0.0000 0.0000 0.0000
0.6252 0.6252 0.6252
0.6252 0.6252 0.1243
0.6252 0.1243 0.6252
0.1243 0.6252 0.6252
0.2500 0.2500 0.2500

=====

Entry 3:
EuZn4In PBE-GGA optimized geometry; space-group type = F-43m (216); ΔH_f (0 K) = -0.139 eV per atom; size of the total moment = 6.9 μB per formula unit
1.0
-3.7376 -4.0114 -0.9263
0.5225 -3.3173 -4.4319
1.4217 -5.3336 0.6716
Zn In Eu
4 1 1
direct
0.6242 0.6242 0.1275
0.1275 0.6242 0.6242
0.6242 0.1275 0.6242
0.6242 0.6242 0.6242
0.0000 0.0000 0.0000
0.2500 0.2500 0.2500